Entry 1:
First-principles (SCAN) data for a crystal of Tl2Te relaxed with PBEsol, as listed in the Alexandria database.

abc: 4.7616 4.7616 5.0702
angles: 90.00 90.00 120.00
With the nearest neighbours (Å) after each atom.
Space group P-3m1 (No. 164)
One atom of each set of equivalent atoms:
Tl (0.3333, 0.6667, 0.3185) (multiplicity 2)  3 Te 3.19, 3 Tl 3.31
Te (0.0000, 0.0000, 0.0000) (multiplicity 1)  6 Tl 3.19

## Properties
Energy above the lowest structure with this stoichiometry: 0.012 eV per atom
Volume: 33.2 A^3/atom
Raw formation energy: -283 meV per atom
D(E_F): 0.0 states/eV per cell

Entry 2:
First-principles (SCAN) data for a crystal of TcNi2W relaxed with PBEsol, as listed in the Alexandria database.

abc: 2.5551 4.0730 4.8688
angles: 90.00 100.07 90.00
With the nearest neighbours (Å) after each atom.
Space group Pm (No. 6)
One atom of each set of equivalent atoms:
Tc (0.0000, 0.0000, 0.0000) (multiplicity 1)  2 Tc 2.56, 7 Ni 2.56-2.61, 2 W 2.70
Ni (0.3405, 0.0000, 0.5367) (multiplicity 1)  4 Ni 2.38-2.56, 3 Tc 2.56-2.61, 4 W 2.61-2.63
Ni (0.4221, 0.5000, 0.7936) (multiplicity 1)  4 Ni 2.38-2.56, 3 W 2.55-2.62, 4 Tc 2.59-2.61
W (0.7591, 0.5000, 0.3189) (multiplicity 1)  7 Ni 2.55-2.63, 2 W 2.56, 2 Tc 2.70

## Properties
Energy above the lowest structure with this stoichiometry: 0.000 eV per atom
Formation energy: -0.012 eV/atom
Volume: 12.5 A^3/atom
D(E_F): 2.1 states/eV per cell

Entry 3:
First-principles (SCAN) data for a crystal of BaMoPb2 relaxed with PBEsol, as listed in the Alexandria database.

abc: 4.6600 4.6600 19.9645
angles: 90.00 90.00 120.00
With the nearest neighbours (Å) after each atom.
Space group R3m (No. 160, hexagonal axes)
One atom of each set of equivalent atoms:
Ba (0.0000, 0.0000, 0.0000) (multiplicity 3)  6 Pb 3.45-3.63, 1 Mo 3.54
Mo (0.0000, 0.0000, 0.8229) (multiplicity 3)  6 Pb 2.86-2.91
Pb (0.0000, 0.0000, 0.2116) (multiplicity 3)  3 Mo 2.91
Pb (0.0000, 0.0000, 0.4411) (multiplicity 3)  3 Mo 2.86

## Properties
Energy above the lowest structure with this stoichiometry: 0.000 eV per atom
Formation energy: 0.171 eV/atom
Volume: 31.3 A^3/atom
D(E_F): 8.3 states/eV per cell